First-principles (GGA-PBEsol) data for a geometry-optimized Re3Rh2 structure, as listed in Alexandria via LeMat-Bulk.

abc: 5.118 5.118 5.118
angles: 50.49 50.49 50.49
Fractional positions:
Re 0.000 0.000 0.000
Re 0.185 0.185 0.185
Re 0.815 0.815 0.815
Rh 0.383 0.383 0.383
Rh 0.617 0.617 0.617

## Properties
The value obtained for the density of states at the Fermi level is 0.89 states/eV per atom. The space group is No. 166. Its volume is 14.70 Å³ per atom. For the formation energy, the calculation gives 0.284 eV/atom.